The following is a DFT calculation (PBE) of a geometry-optimized Ac2MgPb4 structure.

It has space group I4/mmm (No. 139), with a = 5.4590 Å, b = 5.4590 Å, c = 16.9021 Å, α = 90.00°, β = 90.00° and γ = 90.00°. Symmetry generates all atoms from Ac at (0.0000, 0.0000, 0.1332), Mg at (0.0000, 0.0000, 0.5000), Pb at (0.0000, 0.0000, 0.3318) and Pb at (0.0000, 0.5000, 0.0000).

The total magnetization is 0.0 μB/cell. The formation energy comes out at -0.14 eV/atom.


The following is a DFT calculation (PBE) of a geometry-optimized DyCd2Hg8 structure.

It has space group C2/m (No. 12), with a = 13.8984 Å, b = 8.2716 Å, c = 5.1122 Å, α = 90.00°, β = 111.50° and γ = 90.00°. Symmetry generates all atoms from Dy at (0.0000, 0.0000, 0.0000), Cd at (0.2213, 0.5000, 0.7208), Hg at (0.0000, 0.3138, 0.5000), Hg at (0.1401, 0.3099, 0.1411) and Hg at (0.1464, 0.0000, 0.6474).

The total magnetization is 0.0 μB/cell. As for the excess energy over the best structure of this formula in the dataset: 0.0 kJ/mol of atoms. The formation energy comes out at -0.11 eV/atom.


The following is a DFT calculation (PBE) of a geometry-optimized Ca2BiTe structure.

It has space group R3m (No. 160, hexagonal axes), with a = 4.3106 Å, b = 4.3106 Å, c = 25.1699 Å, α = 90.00°, β = 90.00° and γ = 120.00°. Symmetry generates all atoms from Ca at (0.0000, 0.0000, 0.0000), Ca at (0.0000, 0.0000, 0.1790), Bi at (0.0000, 0.0000, 0.7570) and Te at (0.0000, 0.0000, 0.5884).

The total magnetization is 0.0 μB/cell. As for the excess energy over the best structure of this formula in the dataset: 4.2 kJ/mol of atoms. The calculation puts the formation energy from raw total energies at -4.297 eV per formula unit.


The following is a DFT calculation (PBE) of a geometry-optimized ZnGe2OsF structure.

It has space group P4/mmm (No. 123), with a = 4.6176 Å, b = 4.6176 Å, c = 4.0586 Å, α = 90.00°, β = 90.00° and γ = 90.00°. Symmetry generates all atoms from Zn at (0.0000, 0.0000, 0.0000), Ge at (0.0000, 0.5000, 0.5000), Os at (0.5000, 0.5000, 0.0000) and F at (0.5000, 0.5000, 0.5000).

The total magnetization is 0.0 μB/cell. The calculation puts the formation energy from raw total energies at 3.354 eV per formula unit.


The following is a DFT calculation (PBE) of a geometry-optimized ThSc2Sn2 structure.

It has space group I4/mmm (No. 139), with a = 4.4558 Å, b = 4.4558 Å, c = 13.2614 Å, α = 90.00°, β = 90.00° and γ = 90.00°. Symmetry generates all atoms from Th at (0.0000, 0.0000, 0.0000), Sc at (0.0000, 0.5000, 0.2500) and Sn at (0.0000, 0.0000, 0.3936).

The total magnetization is 1.4 μB/cell. The formation energy comes out at -0.52 eV/atom.


The following is a DFT calculation (PBE) of a geometry-optimized VNi2HPt structure.

It has space group P4/mmm (No. 123), with a = 3.7017 Å, b = 3.7017 Å, c = 3.8596 Å, α = 90.00°, β = 90.00° and γ = 90.00°. Symmetry generates all atoms from V at (0.0000, 0.0000, 0.0000), Ni at (0.0000, 0.5000, 0.5000), H at (0.0000, 0.0000, 0.5000) and Pt at (0.5000, 0.5000, 0.0000).

The total magnetization is 1.6 μB/cell. As for the excess energy over the best structure of this formula in the dataset: 0.0 kJ/mol of atoms.